[1]
# Rb3GaRh

Rb3GaRh after structural relaxation (PBE, Alexandria via LeMat-Bulk).

a b c (Å): 6.1072 6.1072 6.1072
angles (deg): 90.00 90.00 90.00
Atoms (fractional coordinates):
Ga1 0.5000 0.5000 0.5000
Rb1 0.5000 0.0000 0.0000
Rb2 0.0000 0.5000 0.0000
Rb3 0.0000 0.0000 0.5000
Rh1 0.0000 0.0000 0.0000

Calculated values
relative energy among the computed polymorphs = 0.000 eV/atom
E_tot = -1.966 eV/atom
symmetry = Pm-3m, No. 221
formation enthalpy at 0 K = 0.690 eV per atom
total magnetization = 0.00 μB per formula unit

---

[2]
# RbGa2Rh

RbGa2Rh after structural relaxation (PBE, Alexandria via LeMat-Bulk).

a b c (Å): 4.9489 4.9489 4.9489
angles (deg): 60.00 60.00 60.00
Atoms (fractional coordinates):
Rb1 0.0000 0.0000 0.0000
Ga1 0.7500 0.7500 0.7500
Ga2 0.2500 0.2500 0.2500
Rh1 0.5000 0.5000 0.5000

Calculated values
E_tot = -3.198 eV/atom
symmetry = Fm-3m, No. 225
formation enthalpy at 0 K = 0.395 eV per atom
total magnetization = 0.00 μB per formula unit

---

[3]
# Rb2Ga2Rh

Rb2Ga2Rh after structural relaxation (PBE, Alexandria via LeMat-Bulk).

a b c (Å): 6.9126 6.9126 6.3549
angles (deg): 90.00 90.00 90.00
Atoms (fractional coordinates):
Rh1 0.5000 0.5000 0.0000
Rh2 0.0000 0.0000 0.0000
Rb1 0.3260 0.1740 0.5000
Rb2 0.6740 0.8260 0.5000
Rb3 0.1740 0.6740 0.5000
Rb4 0.8260 0.3260 0.5000
Ga1 0.7186 0.2186 0.0000
Ga2 0.7814 0.7186 0.0000
Ga3 0.2186 0.2814 0.0000
Ga4 0.2814 0.7814 0.0000

Calculated values
E_tot = -3.048 eV/atom
symmetry = P4/mbm, No. 127
formation enthalpy at 0 K = 0.020 eV per atom
total magnetization = 0.00 μB per formula unit